Dy3SnC | PBEsol | relaxed

Summary:
The final energy is -32.23 eV for the cell shown. The value obtained for the spin magnetization is 0.00 μB per cell.

Structure (CIF):
```
data_Dy3SnC
_chemical_formula_sum 'Dy3 Sn1 C1'
_symmetry_space_group_name_H-M 'P m -3 m'
_symmetry_Int_Tables_number 221
_symmetry_space_group_name_Hall '-P 4 2 3'
_cell_length_a 4.824
_cell_length_b 4.824
_cell_length_c 4.824
_cell_angle_alpha 90.00
_cell_angle_beta 90.00
_cell_angle_gamma 90.00
loop_
_atom_site_label
_atom_site_type_symbol
_atom_site_fract_x
_atom_site_fract_y
_atom_site_fract_z
Dy1 Dy 0.000 0.000 0.500
Sn1 Sn 0.500 0.500 0.500
C1 C 0.000 0.000 0.000
```

***

Er15C19 | PBEsol | relaxed

Summary:
The final energy is -540.90 eV for the cell shown. The value obtained for the spin magnetization is 0.00 μB per cell.

Structure (CIF):
```
data_Er15C19
_chemical_formula_sum 'Er30 C38'
_symmetry_space_group_name_H-M 'P 4/m n c'
_symmetry_Int_Tables_number 128
_symmetry_space_group_name_Hall '-P 4 2n'
_cell_length_a 7.968
_cell_length_b 7.968
_cell_length_c 15.138
_cell_angle_alpha 90.00
_cell_angle_beta 90.00
_cell_angle_gamma 90.00
loop_
_atom_site_label
_atom_site_type_symbol
_atom_site_fract_x
_atom_site_fract_y
_atom_site_fract_z
Er1 Er 0.000 0.000 0.000
Er2 Er 0.000 0.000 0.331
Er3 Er 0.094 0.298 0.500
Er4 Er 0.099 0.715 0.151
C1 C 0.000 0.000 0.163
C2 C 0.000 0.000 0.500
C3 C 0.096 0.303 0.330
C4 C 0.102 0.698 0.000
C5 C 0.152 0.348 0.250
```

***

What calculated formation energy values result from the calculations? In sequence: -678, -391 meV per atom.